Entry 1:
Compound: Zr2GeSbI
Source: Alexandria
Functional: PBE
Structure: optimized geometry

Cell: 5.449 5.449 5.750 Å, 90.00 90.00 90.00°
Fractional positions:
Zr 0.000 0.500 0.000
Zr 0.500 0.000 0.000
Ge 0.000 0.000 0.500
Sb 0.500 0.500 0.000
I 0.500 0.500 0.500

Output
For the density of states at the Fermi level, the calculation gives 8.66 states/eV per cell. The raw formation energy is 1.057 eV/atom. The total magnetic moment is 0.00 μB per atom. Its total energy is -4.420 eV per atom.

***

Entry 2:
Compound: Sc3GeI
Source: Alexandria
Functional: PBE
Structure: optimized geometry

Cell: 5.168 5.168 5.168 Å, 90.00 90.00 90.00°
Fractional positions:
Sc 0.000 0.000 0.500
Sc 0.000 0.500 0.000
Sc 0.500 0.000 0.000
Ge 0.000 0.000 0.000
I 0.500 0.500 0.500

Output
For the density of states at the Fermi level, the calculation gives 8.81 states/eV per cell. The raw formation energy is -0.085 eV/atom. As for the offset from the most stable computed form: 0.0 meV per atom. The total magnetic moment is 0.00 μB per atom. Its total energy is -5.117 eV per atom.

***

Entry 3:
Compound: ScGe2I
Source: Alexandria
Functional: PBE
Structure: optimized geometry

Cell: 7.232 7.232 7.232 Å, 90.00 90.00 90.00°
Fractional positions:
Sc 0.000 0.000 0.000
Sc 0.000 0.500 0.500
Sc 0.500 0.000 0.500
Sc 0.500 0.500 0.000
Ge 0.250 0.250 0.250
Ge 0.250 0.250 0.750
Ge 0.250 0.750 0.250
Ge 0.250 0.750 0.750
Ge 0.750 0.250 0.250
Ge 0.750 0.250 0.750
Ge 0.750 0.750 0.250
Ge 0.750 0.750 0.750
I 0.000 0.000 0.500
I 0.000 0.500 0.000
I 0.500 0.000 0.000
I 0.500 0.500 0.500

Output
For the density of states at the Fermi level, the calculation gives 16.59 states/eV per cell. The raw formation energy is 0.354 eV/atom. As for the offset from the most stable computed form: 338.3 meV per atom. The total magnetic moment is 0.00 μB per atom. Its total energy is -3.925 eV per atom.

***

Entry 4:
Compound: ScGe2I
Source: Alexandria
Functional: PBE
Structure: optimized geometry

Cell: 4.149 4.149 22.987 Å, 90.00 90.00 90.00°
Fractional positions:
Sc 0.000 0.000 0.000
Sc 0.000 0.500 0.250
Sc 0.500 0.000 0.750
Sc 0.500 0.500 0.500
Ge 0.178 0.250 0.125
Ge 0.250 0.678 0.375
Ge 0.250 0.822 0.875
Ge 0.322 0.250 0.625
Ge 0.678 0.750 0.625
Ge 0.750 0.178 0.875
Ge 0.750 0.322 0.375
Ge 0.822 0.750 0.125
I 0.000 0.000 0.500
I 0.000 0.500 0.750
I 0.500 0.000 0.250
I 0.500 0.500 0.000

Output
For the density of states at the Fermi level, the calculation gives 13.38 states/eV per cell. The raw formation energy is 0.016 eV/atom. As for the offset from the most stable computed form: 0.0 meV per atom. The total magnetic moment is 0.00 μB per atom. Its total energy is -4.263 eV per atom.